# 1
Compound: Ba2TlRe
Source: Alexandria via LeMat-Bulk
Functional: SCAN
Structure: PBEsol geometry

Lattice parameters (Å, degrees): 3.675 5.785 5.785 90.33 90.00 90.00
Each line ends with the local moment (μB).
Fractional coordinates of all 4 atoms:
1 Re 0.500 0.000 0.000  1.77
2 Tl 0.500 0.500 0.500  -0.02
3 Ba 0.000 0.000 0.500  0.00
4 Ba 0.000 0.500 0.000  0.00

- total energy (eV per atom) = -54.8502
- ρ (Mg/m³) = 8.98
- formation energy (eV/atom) = 0.79
- D(E_F) (states/eV/cell) = 3.67

=====

# 2
Compound: K2AlNi
Source: Alexandria via LeMat-Bulk
Functional: SCAN
Structure: PBEsol geometry

Lattice parameters (Å, degrees): 3.393 3.393 10.047 90.00 90.00 90.00
Fractional coordinates of all 4 atoms:
1 Ni 0.000 0.000 0.609
2 K 0.000 0.000 0.922
3 K 0.500 0.500 0.328
4 Al 0.500 0.500 0.642

- total energy (eV per atom) = -9.9596
- ρ (Mg/m³) = 2.35
- formation energy (eV/atom) = 0.19
- D(E_F) (states/eV/cell) = 1.68

=====

# 3
Compound: Zr2CdPb
Source: Alexandria via LeMat-Bulk
Functional: SCAN
Structure: PBEsol geometry

Lattice parameters (Å, degrees): 4.365 4.435 4.435 90.00 90.00 90.00
Fractional coordinates of all 4 atoms:
1 Pb 0.500 0.000 0.000
2 Zr 0.000 0.000 0.500
3 Zr 0.000 0.500 0.000
4 Cd 0.500 0.500 0.500

- total energy (eV per atom) = -42.2162
- ρ (Mg/m³) = 9.71
- formation energy (eV/atom) = -0.32
- D(E_F) (states/eV/cell) = 2.28